Record 1
DyClO PBE relaxed; energy relative to the elements, uncorrected = -3.01 eV per atom; energy = -6.81 eV/atom; SG = P2_1/c
1.0
6.923 0.000 -0.526
0.000 5.427 0.000
-3.643 0.000 6.699
O Dy Cl
4 4 4
direct
0.695 0.646 0.577
0.305 0.354 0.423
0.805 0.146 0.423
0.195 0.854 0.577
0.528 0.406 0.306
0.028 0.094 0.306
0.972 0.906 0.694
0.472 0.594 0.694
0.778 0.609 0.140
0.722 0.109 0.860
0.278 0.891 0.140
0.222 0.391 0.860



Record 2
Cs2PtPbF6 PBE relaxed; energy relative to the elements, uncorrected = -2.12 eV per atom; energy = -4.39 eV/atom; SG = I4/mmm
1.0
6.300 0.000 0.000
0.000 6.300 0.000
3.150 3.150 5.818
F Pb Cs Pt
6 1 2 1
direct
0.274 0.274 0.000
0.726 0.726 0.000
0.274 0.726 0.000
0.726 0.274 0.000
0.797 0.797 0.407
0.203 0.203 0.593
0.000 0.000 0.000
0.250 0.750 0.500
0.750 0.250 0.500
0.500 0.500 0.000



Record 3
LaTc2HgO8 PBE relaxed; energy relative to the elements, uncorrected = -1.72 eV per atom; energy = -7.18 eV/atom; SG = P-3
1.0
6.455 0.000 0.000
-3.228 5.590 0.000
0.000 0.000 8.006
O Tc La Hg
8 2 1 1
direct
0.818 0.632 0.345
0.186 0.818 0.655
0.632 0.814 0.655
0.182 0.368 0.655
0.667 0.333 0.054
0.333 0.667 0.946
0.814 0.182 0.345
0.368 0.186 0.345
0.667 0.333 0.269
0.333 0.667 0.731
0.000 0.000 0.500
0.000 0.000 0.000



Record 4
Nd2ErSb2Te2 PBE relaxed; energy relative to the elements, uncorrected = -0.79 eV per atom; energy = -4.87 eV/atom; SG = I4/mmm
1.0
-3.720 4.285 -0.556
-3.053 -3.126 -3.662
-0.804 -3.447 8.050
Nd Te Er Sb
2 2 1 2
direct
0.384 0.384 0.768
0.616 0.616 0.232
0.192 0.192 0.384
0.808 0.808 0.616
0.000 0.000 0.000
0.000 0.500 0.000
0.500 0.000 0.000



Record 5
Pr3Nd3Er5 PBE relaxed; energy = -3.95 eV/atom; SG = P-62m; energy of formation = 729 meV/atom
1.0
-2.405 -2.916 3.958
8.055 0.679 5.396
-6.942 6.759 0.760
Er Pr Nd
5 3 3
direct
0.500 0.667 0.333
0.500 0.635 0.000
0.500 0.000 0.635
0.500 0.365 0.365
0.500 0.333 0.667
0.500 0.000 0.268
0.500 0.732 0.732
0.500 0.268 0.000
0.000 0.427 0.000
0.000 0.000 0.427
0.000 0.573 0.573



Record 6
Ac2HgPd3Au12 PBE relaxed; energy = -3.52 eV/atom; SG = R-3m; energy of formation = 0 meV/atom
1.0
-2.434 4.575 6.550
-2.570 -4.372 6.636
5.245 -0.017 6.499
Ac Pd Au Hg
2 3 12 1
direct
0.386 0.386 0.386
0.614 0.614 0.614
0.000 0.500 0.000
0.000 0.000 0.500
0.500 0.000 0.000
0.139 0.620 0.139
0.620 0.139 0.139
0.634 0.634 0.128
0.872 0.366 0.366
0.128 0.634 0.634
0.366 0.366 0.872
0.634 0.128 0.634
0.861 0.380 0.861
0.366 0.872 0.366
0.139 0.139 0.620
0.861 0.861 0.380
0.380 0.861 0.861
0.000 0.000 0.000



Number 1: magnetization 0.0 μB per cell. Number 2: magnetization 0.0 μB per cell. Number 3: magnetization 0.5 μB per cell. Number 4: magnetization 0.0 μB per cell. Number 5: magnetization 0.0 μB per cell. Number 6: magnetization 0.0 μB per cell.